Compound: SrMgAgHg
Source: the Alexandria database
Functional: GGA-PBE
Structure: optimized geometry

Output
Symmetry: No. 216
E, hartree per atom: -0.0695
Energy relative to the lowest polymorph listed for this composition, eV per atom: 0.035
Energy of formation, eV per atom: -0.28

Unit cell a=5.2712 b=5.2712 c=5.2712 alpha=60.00 beta=60.00 gamma=60.00
Closest atoms and distances in Å follow each position.
Element x y z (fractional)
Sr1 0.0000 0.0000 0.0000  4 Hg 3.23, 4 Ag 3.23
Mg1 0.5000 0.5000 0.5000  4 Ag 3.23, 4 Hg 3.23
Ag1 0.2500 0.2500 0.2500  4 Mg 3.23, 4 Sr 3.23
Hg1 0.7500 0.7500 0.7500  4 Mg 3.23, 4 Sr 3.23